#P
First-principles (PBE) data for a relaxed AlVCrC crystal, as listed in Alexandria.

Computed properties:
Density of states at the Fermi level = 4.31 states/eV per cell
M_tot = 0.0 Bohr magnetons per cell

abc: 2.8815 2.8815 12.8816
angles: 90.00 90.00 120.00
Closest atoms and distances in Å follow each position.
Space group P-3m1 (No. 164)
Unique sites:
Al 0.3333 0.6667 0.2426 (multiplicity 2)  3 Cr 2.65, 3 V 2.75, 6 Al 2.88
V 0.3333 0.6667 0.5877 (multiplicity 2)  3 C 2.01
Cr 0.3333 0.6667 0.9176 (multiplicity 2)  3 C 1.97
C 0.0000 0.0000 0.0000 (multiplicity 1)  6 Cr 1.97
C 0.0000 0.0000 0.5000 (multiplicity 1)  6 V 2.01

=====

#Q
First-principles (PBE) data for a relaxed AlVCrC crystal, as listed in Alexandria.

Computed properties:
Density of states at the Fermi level = 9.61 states/eV per cell
M_tot = 0.0 Bohr magnetons per cell

abc: 2.8800 2.8800 19.3686
angles: 90.00 90.00 120.00
Closest atoms and distances in Å follow each position.
Space group R3m (No. 160, hexagonal axes)
Unique sites:
Al 0.0000 0.0000 0.0000 (multiplicity 3)  3 Cr 2.68, 3 V 2.74, 6 Al 2.88
V 0.0000 0.0000 0.4455 (multiplicity 3)  3 C 2.02
Cr 0.0000 0.0000 0.2251 (multiplicity 3)  3 C 1.97
C 0.0000 0.0000 0.8376 (multiplicity 3)  3 Cr 1.97, 3 V 2.02

=====

Of them, #P has the highest stability.

=====

#P
First-principles (PBE) data for a relaxed Al3CuC crystal, as listed in Alexandria.

Computed properties:
Density of states at the Fermi level = 2.08 states/eV per cell
M_tot = 0.0 Bohr magnetons per cell

abc: 4.0153 4.0153 4.0153
angles: 90.00 90.00 90.00
Closest atoms and distances in Å follow each position.
Space group Pm-3m (No. 221)
Unique sites:
Al 0.0000 0.0000 0.5000 (multiplicity 3)  2 C 2.01
Cu 0.5000 0.5000 0.5000 (multiplicity 1)  12 Al 2.84
C 0.0000 0.0000 0.0000 (multiplicity 1)  6 Al 2.01

=====

#Q
First-principles (PBE) data for a relaxed Al3CuC crystal, as listed in Alexandria.

Computed properties:
Density of states at the Fermi level = 2.62 states/eV per cell
M_tot = 1.6 Bohr magnetons per cell

abc: 4.4571 4.4571 4.4571
angles: 90.00 90.00 90.00
Closest atoms and distances in Å follow each position.
Space group Pm-3m (No. 221)
Unique sites:
Al 0.0000 0.0000 0.5000 (multiplicity 3)  2 Cu 2.23
Cu 0.0000 0.0000 0.0000 (multiplicity 1)  6 Al 2.23
C 0.5000 0.5000 0.5000 (multiplicity 1)  12 Al 3.15

=====

Of them, #P has the highest stability.